# 1
## Pm4Se5Cl (PBE-GGA)

Data for a relaxed Pm4Se5Cl crystal.

Calculated values
V: 625 Å³/cell
total magnetic moment: 2.02 Bohr magnetons per cell
formation energy (no corrections): -1734.0 meV/atom
calculated total energy: -5.56 eV/atom

Cell: 9.0625 9.7018 7.1059 Å, 90.00 90.00 90.00°
Closest atoms and distances in Å follow each position.
Space group Pmmn (No. 59, origin choice 2)
One atom of each set of equivalent atoms:
Pm 0.0250 0.2500 0.0505 (multiplicity 4)  3 Se 2.85-2.91, 1 Cl 2.88
Pm 0.2500 0.5006 0.5474 (multiplicity 4)  5 Se 2.83-2.99, 1 Cl 2.85
Se 0.0258 0.5480 0.2455 (multiplicity 8)  4 Pm 2.91-3.21
Se 0.2500 0.7500 0.7544 (multiplicity 2)  4 Pm 2.83-2.85
Cl 0.2500 0.2500 0.3375 (multiplicity 2)  4 Pm 2.85-2.88

# 2
## Pm3Se2Cl (PBE-GGA)

Data for a relaxed Pm3Se2Cl crystal.

Calculated values
V: 310 Å³/cell
total magnetic moment: 0.00 Bohr magnetons per cell
formation energy (no corrections): -1621.6 meV/atom
calculated total energy: -5.47 eV/atom

Cell: 4.0205 4.0205 22.1339 Å, 90.00 90.00 120.00°
Closest atoms and distances in Å follow each position.
Space group P6_3/mmc (No. 194)
One atom of each set of equivalent atoms:
Pm 0.0000 0.0000 0.0000 (multiplicity 2)  6 Se 2.94
Pm 0.3333 0.6667 0.1590 (multiplicity 4)  3 Se 2.89, 3 Cl 3.07
Se 0.3333 0.6667 0.5812 (multiplicity 4)  6 Pm 2.89-2.94
Cl 0.0000 0.0000 0.2500 (multiplicity 2)  6 Pm 3.07

# 3
## Pm2SeCl (PBE-GGA)

Data for a relaxed Pm2SeCl crystal.

Calculated values
V: 369 Å³/cell
total magnetic moment: 0.00 Bohr magnetons per cell
polymorph energy (0 for the lowest one): 38.5 kJ/mol of formula units
formation energy (no corrections): -1447.9 meV/atom
calculated total energy: -5.16 eV/atom

Cell: 7.1749 7.1749 7.1749 Å, 90.00 90.00 90.00°
Closest atoms and distances in Å follow each position.
Space group Fm-3m (No. 225)
One atom of each set of equivalent atoms:
Pm 0.2500 0.2500 0.2500 (multiplicity 8)  4 Cl 3.11, 4 Se 3.11
Se 0.0000 0.0000 0.0000 (multiplicity 4)  8 Pm 3.11
Cl 0.0000 0.0000 0.5000 (multiplicity 4)  8 Pm 3.11